# 1
# PBE ThH6Pd4, optimized geometry
# Calculated total energy   -4.68 eV/atom
# Symmetry   P1, No. 1
data_ThH6Pd4
_chemical_formula_sum 'Th1 H6 Pd4'
_space_group_name_H-M_alt 'P 1'
_space_group_IT_number 1
_cell_length_a 6.713
_cell_length_b 5.515
_cell_length_c 8.442
_cell_angle_alpha 142.52
_cell_angle_beta 141.63
_cell_angle_gamma 49.94
loop_
_space_group_symop_operation_xyz
'x,y,z'
loop_
_atom_site_label
_atom_site_type_symbol
_atom_site_fract_x
_atom_site_fract_y
_atom_site_fract_z
H1 H 0.979 0.313 0.497
H2 H 0.542 0.186 0.933
H3 H 0.666 0.841 0.619
H4 H 0.381 0.691 0.742
H5 H 0.924 0.619 0.879
H6 H 0.786 0.882 0.337
Pd1 Pd 0.817 0.810 0.102
Pd2 Pd 0.383 0.261 0.658
Pd3 Pd 0.704 0.619 0.337
Pd4 Pd 0.147 0.150 0.771
Th1 Th 0.171 0.128 0.125

# 2
# PBE ThHPd, optimized geometry
# Calculated total energy   -5.64 eV/atom
# Symmetry   I4mm, No. 107
data_ThHPd
_chemical_formula_sum 'Th1 H1 Pd1'
_space_group_name_H-M_alt 'P 1'
_space_group_IT_number 1
_cell_length_a 4.048
_cell_length_b 4.048
_cell_length_c 4.598
_cell_angle_alpha 116.12
_cell_angle_beta 116.12
_cell_angle_gamma 90.00
loop_
_space_group_symop_operation_xyz
'x,y,z'
loop_
_atom_site_label
_atom_site_type_symbol
_atom_site_fract_x
_atom_site_fract_y
_atom_site_fract_z
Pd1 Pd 0.214 0.214 0.429
H1 H 0.980 0.980 0.959
Th1 Th 0.656 0.656 0.312

# 3
# PBE ThHPd2, optimized geometry
# Calculated total energy   -5.92 eV/atom
# Symmetry   P2/m, No. 10
data_ThHPd2
_chemical_formula_sum 'Th2 H2 Pd4'
_space_group_name_H-M_alt 'P 1'
_space_group_IT_number 1
_cell_length_a 3.667
_cell_length_b 7.799
_cell_length_c 6.181
_cell_angle_alpha 79.79
_cell_angle_beta 126.39
_cell_angle_gamma 89.98
loop_
_space_group_symop_operation_xyz
'x,y,z'
loop_
_atom_site_label
_atom_site_type_symbol
_atom_site_fract_x
_atom_site_fract_y
_atom_site_fract_z
Pd1 Pd 0.274 0.938 0.275
Pd2 Pd 0.726 0.062 0.725
Pd3 Pd 0.779 0.411 0.779
Pd4 Pd 0.221 0.589 0.221
H1 H 0.007 0.181 0.006
H2 H 0.993 0.819 0.994
Th1 Th 0.185 0.727 0.685
Th2 Th 0.815 0.273 0.315

# 4
# PBE ThH2Pd, optimized geometry
# Calculated total energy   -5.42 eV/atom
# Symmetry   P2_1/m, No. 11
data_ThH2Pd
_chemical_formula_sum 'Th2 H4 Pd2'
_space_group_name_H-M_alt 'P 1'
_space_group_IT_number 1
_cell_length_a 4.085
_cell_length_b 4.180
_cell_length_c 6.498
_cell_angle_alpha 90.00
_cell_angle_beta 106.96
_cell_angle_gamma 90.00
loop_
_space_group_symop_operation_xyz
'x,y,z'
loop_
_atom_site_label
_atom_site_type_symbol
_atom_site_fract_x
_atom_site_fract_y
_atom_site_fract_z
Pd1 Pd 0.092 0.750 0.154
Pd2 Pd 0.908 0.250 0.846
H1 H 0.450 0.250 0.896
H2 H 0.550 0.750 0.104
H3 H 0.248 0.250 0.503
H4 H 0.752 0.750 0.497
Th1 Th 0.347 0.750 0.708
Th2 Th 0.653 0.250 0.292

# 5
# PBE Th2HPd, optimized geometry
# Calculated total energy   -6.31 eV/atom
# Symmetry   P2_1/m, No. 11
data_Th2HPd
_chemical_formula_sum 'Th4 H2 Pd2'
_space_group_name_H-M_alt 'P 1'
_space_group_IT_number 1
_cell_length_a 3.708
_cell_length_b 6.519
_cell_length_c 7.540
_cell_angle_alpha 106.81
_cell_angle_beta 90.00
_cell_angle_gamma 90.00
loop_
_space_group_symop_operation_xyz
'x,y,z'
loop_
_atom_site_label
_atom_site_type_symbol
_atom_site_fract_x
_atom_site_fract_y
_atom_site_fract_z
H1 H 0.750 0.838 0.336
H2 H 0.250 0.162 0.664
Th1 Th 0.250 0.803 0.087
Th2 Th 0.250 0.787 0.562
Th3 Th 0.750 0.197 0.913
Th4 Th 0.750 0.213 0.438
Pd1 Pd 0.750 0.604 0.782
Pd2 Pd 0.250 0.396 0.218

# 6
# PBE ThH7Pd12, optimized geometry
# Calculated total energy   -4.89 eV/atom
# Symmetry   R-3, No. 148
data_ThH7Pd12
_chemical_formula_sum 'Th1 H7 Pd12'
_space_group_name_H-M_alt 'P 1'
_space_group_IT_number 1
_cell_length_a 7.235
_cell_length_b 6.604
_cell_length_c 6.604
_cell_angle_alpha 72.54
_cell_angle_beta 68.58
_cell_angle_gamma 111.42
loop_
_space_group_symop_operation_xyz
'x,y,z'
loop_
_atom_site_label
_atom_site_type_symbol
_atom_site_fract_x
_atom_site_fract_y
_atom_site_fract_z
Pd1 Pd 0.764 0.459 0.159
Pd2 Pd 0.527 0.910 0.312
Pd3 Pd 0.473 0.090 0.688
Pd4 Pd 0.304 0.381 0.459
Pd5 Pd 0.383 0.221 0.090
Pd6 Pd 0.923 0.159 0.381
Pd7 Pd 0.161 0.688 0.221
Pd8 Pd 0.077 0.841 0.619
Pd9 Pd 0.696 0.619 0.541
Pd10 Pd 0.617 0.779 0.910
Pd11 Pd 0.236 0.541 0.841
Pd12 Pd 0.839 0.312 0.779
Th1 Th 0.000 0.000 0.000
H1 H 0.500 0.000 0.000
H2 H 0.992 0.200 0.609
H3 H 0.601 0.609 0.190
H4 H 0.792 0.190 0.200
H5 H 0.008 0.800 0.391
H6 H 0.399 0.391 0.810
H7 H 0.208 0.810 0.800

# 7
# PBE ThHPd, optimized geometry
# Calculated total energy   -6.03 eV/atom
# Symmetry   P2_1/m, No. 11
data_ThHPd
_chemical_formula_sum 'Th2 H2 Pd2'
_space_group_name_H-M_alt 'P 1'
_space_group_IT_number 1
_cell_length_a 3.896
_cell_length_b 4.236
_cell_length_c 6.430
_cell_angle_alpha 90.00
_cell_angle_beta 106.14
_cell_angle_gamma 90.00
loop_
_space_group_symop_operation_xyz
'x,y,z'
loop_
_atom_site_label
_atom_site_type_symbol
_atom_site_fract_x
_atom_site_fract_y
_atom_site_fract_z
Pd1 Pd 0.699 0.615 0.840
Pd2 Pd 0.531 0.115 0.545
H1 H 0.866 0.115 0.206
H2 H 0.364 0.615 0.180
Th1 Th 0.266 0.115 0.982
Th2 Th 0.964 0.615 0.403

# 8
# PBE ThH3Pd3, optimized geometry
# Calculated total energy   -5.10 eV/atom
# Symmetry   Pm-3n, No. 223
data_ThH3Pd3
_chemical_formula_sum 'Th2 H6 Pd6'
_space_group_name_H-M_alt 'P 1'
_space_group_IT_number 1
_cell_length_a 5.587
_cell_length_b 5.587
_cell_length_c 5.587
_cell_angle_alpha 90.00
_cell_angle_beta 90.00
_cell_angle_gamma 90.00
loop_
_space_group_symop_operation_xyz
'x,y,z'
loop_
_atom_site_label
_atom_site_type_symbol
_atom_site_fract_x
_atom_site_fract_y
_atom_site_fract_z
Pd1 Pd 0.750 0.000 0.500
Pd2 Pd 0.500 0.750 0.000
Pd3 Pd 0.500 0.250 0.000
Pd4 Pd 0.000 0.500 0.250
Pd5 Pd 0.000 0.500 0.750
Pd6 Pd 0.250 0.000 0.500
H1 H 0.250 0.500 0.000
H2 H 0.500 0.000 0.750
H3 H 0.750 0.500 0.000
H4 H 0.000 0.750 0.500
H5 H 0.000 0.250 0.500
H6 H 0.500 0.000 0.250
Th1 Th 0.000 0.000 0.000
Th2 Th 0.500 0.500 0.500

# 9
# PBE ThH4Pd2, optimized geometry
# Calculated total energy   -4.73 eV/atom
# Symmetry   Fdd2, No. 43
data_ThH4Pd2
_chemical_formula_sum 'Th2 H8 Pd4'
_space_group_name_H-M_alt 'P 1'
_space_group_IT_number 1
_cell_length_a 5.269
_cell_length_b 5.269
_cell_length_c 6.763
_cell_angle_alpha 107.30
_cell_angle_beta 107.30
_cell_angle_gamma 103.68
loop_
_space_group_symop_operation_xyz
'x,y,z'
loop_
_atom_site_label
_atom_site_type_symbol
_atom_site_fract_x
_atom_site_fract_y
_atom_site_fract_z
Pd1 Pd 0.647 0.903 0.349
Pd2 Pd 0.554 0.299 0.651
Pd3 Pd 0.549 0.304 0.151
Pd4 Pd 0.153 0.397 0.849
H1 H 0.932 0.006 0.636
H2 H 0.480 0.609 0.788
H3 H 0.859 0.230 0.288
H4 H 0.370 0.296 0.364
H5 H 0.942 0.571 0.712
H6 H 0.256 0.682 0.136
H7 H 0.546 0.120 0.864
H8 H 0.821 0.692 0.212
Th1 Th 0.947 0.947 0.000
Th2 Th 0.197 0.697 0.500

Number 1: density 9.35 g cm⁻³. Number 2: density 9.56 g cm⁻³. Number 3: density 10.67 g cm⁻³. Number 4: density 10.65 g cm⁻³. Number 5: density 10.88 g cm⁻³. Number 6: density 10.63 g cm⁻³. Number 7: density 11.06 g cm⁻³. Number 8: density 10.56 g cm⁻³. Number 9: density 9.32 g cm⁻³.